A relaxed Na2LiIn crystal, computed with PBE.

Cell: 5.2169 4.4836 4.4836 Å, 90.00 90.00 90.00°
Fractional coordinates of all 4 atoms:
Na1 0.0000 0.0000 0.5000
Na2 0.0000 0.5000 0.0000
Li1 0.5000 0.0000 0.0000
In1 0.5000 0.5000 0.5000

Computed properties:
Formation energy ... -0.051 eV/atom
ρ ... 2.66 g cm⁻³